This record from the Alexandria database describes crystalline SmErCuPt at its relaxed geometry. The functional is GGA-PBE.

Uncorrected energy, eV per atom: -5.59
Energy relative to the elements, eV/atom: -0.73
Calculated volume, Å³ per cell: 344.75
Offset from the most stable computed form, meV/atom: 40.5

Structure (CIF):
```
data_SmErCuPt
_chemical_formula_sum 'Sm4 Er4 Cu4 Pt4'
_symmetry_space_group_name_H-M 'F -4 3 m'
_symmetry_Int_Tables_number 216
_symmetry_space_group_name_Hall 'F -4 2 3'
_cell_length_a 7.012
_cell_length_b 7.012
_cell_length_c 7.012
_cell_angle_alpha 90.00
_cell_angle_beta 90.00
_cell_angle_gamma 90.00
loop_
_atom_site_label
_atom_site_type_symbol
_atom_site_fract_x
_atom_site_fract_y
_atom_site_fract_z
Sm1 Sm 0.000 0.000 0.000
Er1 Er 0.000 0.000 0.500
Cu1 Cu 0.250 0.250 0.250
Pt1 Pt 0.250 0.250 0.750
```